Entry 1:
# LiScZnAs PBE-GGA relaxed
data_LiScZnAs
_chemical_formula_sum 'Li1 Sc1 Zn1 As1'
_symmetry_space_group_name_H-M 'P 1'
_symmetry_Int_Tables_number 1
_cell_length_a 4.624
_cell_length_b 4.624
_cell_length_c 4.624
_cell_angle_alpha 60.00
_cell_angle_beta 60.00
_cell_angle_gamma 60.00
loop_
_symmetry_equiv_pos_as_xyz
'x,y,z'
loop_
_atom_site_label
_atom_site_type_symbol
_atom_site_fract_x
_atom_site_fract_y
_atom_site_fract_z
Li1 Li 0.250 0.250 0.250
Zn1 Zn 0.750 0.750 0.750
As1 As 0.000 0.000 0.000
Sc1 Sc 0.500 0.500 0.500
# * VASP energy: -3.72 eV per atom
# * crystal system: cubic

***

Entry 2:
# PrZr PBE-GGA relaxed
data_PrZr
_chemical_formula_sum 'Pr1 Zr1'
_symmetry_space_group_name_H-M 'P 1'
_symmetry_Int_Tables_number 1
_cell_length_a 4.596
_cell_length_b 4.596
_cell_length_c 4.596
_cell_angle_alpha 60.00
_cell_angle_beta 60.00
_cell_angle_gamma 60.00
loop_
_symmetry_equiv_pos_as_xyz
'x,y,z'
loop_
_atom_site_label
_atom_site_type_symbol
_atom_site_fract_x
_atom_site_fract_y
_atom_site_fract_z
Pr1 Pr 0.000 0.000 0.000
Zr1 Zr 0.250 0.250 0.250
# * crystal system: cubic
# * ΔH_f (0 K): 4.11 eV per formula unit

***

Entry 3:
# ZrAs PBE-GGA relaxed
data_ZrAs
_chemical_formula_sum 'Zr4 As4'
_symmetry_space_group_name_H-M 'P 1'
_symmetry_Int_Tables_number 1
_cell_length_a 5.594
_cell_length_b 4.854
_cell_length_c 6.875
_cell_angle_alpha 90.00
_cell_angle_beta 90.00
_cell_angle_gamma 90.00
loop_
_symmetry_equiv_pos_as_xyz
'x,y,z'
loop_
_atom_site_label
_atom_site_type_symbol
_atom_site_fract_x
_atom_site_fract_y
_atom_site_fract_z
As1 As 0.750 0.500 0.135
As2 As 0.750 0.000 0.650
As3 As 0.250 0.500 0.865
As4 As 0.250 0.000 0.350
Zr1 Zr 0.250 0.000 0.759
Zr2 Zr 0.000 0.500 0.500
Zr3 Zr 0.500 0.500 0.500
Zr4 Zr 0.750 0.000 0.241
# * VASP energy: -7.18 eV per atom
# * crystal system: orthorhombic

***

Entry 4:
# La3Ga2Ni2 PBE-GGA relaxed
data_La3Ga2Ni2
_chemical_formula_sum 'La12 Ga8 Ni8'
_symmetry_space_group_name_H-M 'P 1'
_symmetry_Int_Tables_number 1
_cell_length_a 5.751
_cell_length_b 8.319
_cell_length_c 13.202
_cell_angle_alpha 90.00
_cell_angle_beta 90.00
_cell_angle_gamma 90.00
loop_
_symmetry_equiv_pos_as_xyz
'x,y,z'
loop_
_atom_site_label
_atom_site_type_symbol
_atom_site_fract_x
_atom_site_fract_y
_atom_site_fract_z
Ni1 Ni 0.387 0.467 0.412
Ni2 Ni 0.613 0.967 0.088
Ni3 Ni 0.613 0.533 0.588
Ni4 Ni 0.387 0.033 0.588
Ni5 Ni 0.387 0.467 0.088
Ni6 Ni 0.613 0.967 0.412
Ni7 Ni 0.613 0.533 0.912
Ni8 Ni 0.387 0.033 0.912
La1 La 0.155 0.396 0.904
La2 La 0.155 0.104 0.404
La3 La 0.155 0.104 0.096
La4 La 0.845 0.896 0.596
La5 La 0.845 0.896 0.904
La6 La 0.658 0.248 0.750
La7 La 0.342 0.748 0.750
La8 La 0.658 0.252 0.250
La9 La 0.155 0.396 0.596
La10 La 0.342 0.752 0.250
La11 La 0.845 0.604 0.404
La12 La 0.845 0.604 0.096
Ga1 Ga 0.356 0.750 0.000
Ga2 Ga 0.169 0.101 0.750
Ga3 Ga 0.831 0.601 0.750
Ga4 Ga 0.169 0.399 0.250
Ga5 Ga 0.356 0.750 0.500
Ga6 Ga 0.644 0.250 0.500
Ga7 Ga 0.831 0.899 0.250
Ga8 Ga 0.644 0.250 0.000
# * VASP energy: -5.10 eV per atom
# * crystal system: orthorhombic

***

Entry 5:
# TmNbIn PBE-GGA relaxed
data_TmNbIn
_chemical_formula_sum 'Tm1 Nb1 In1'
_symmetry_space_group_name_H-M 'P 1'
_symmetry_Int_Tables_number 1
_cell_length_a 4.923
_cell_length_b 4.923
_cell_length_c 4.923
_cell_angle_alpha 60.00
_cell_angle_beta 60.00
_cell_angle_gamma 60.00
loop_
_symmetry_equiv_pos_as_xyz
'x,y,z'
loop_
_atom_site_label
_atom_site_type_symbol
_atom_site_fract_x
_atom_site_fract_y
_atom_site_fract_z
Tm1 Tm 0.000 0.000 0.000
In1 In 0.250 0.250 0.250
Nb1 Nb 0.750 0.750 0.750
# * VASP energy: -4.89 eV per atom
# * crystal system: cubic

***

Entry 6:
# Tb2DyIn3AgPd2 PBE-GGA relaxed
data_Tb2DyIn3AgPd2
_chemical_formula_sum 'Tb2 Dy1 In3 Ag1 Pd2'
_symmetry_space_group_name_H-M 'P 1'
_symmetry_Int_Tables_number 1
_cell_length_a 3.819
_cell_length_b 7.824
_cell_length_c 7.824
_cell_angle_alpha 119.99
_cell_angle_beta 90.00
_cell_angle_gamma 90.00
loop_
_symmetry_equiv_pos_as_xyz
'x,y,z'
loop_
_atom_site_label
_atom_site_type_symbol
_atom_site_fract_x
_atom_site_fract_y
_atom_site_fract_z
Dy1 Dy 0.000 0.590 0.590
Tb1 Tb 0.000 0.000 0.410
Tb2 Tb 0.000 0.410 0.000
Ag1 Ag 0.000 0.000 0.000
Pd1 Pd 0.500 0.333 0.667
Pd2 Pd 0.500 0.667 0.333
In1 In 0.500 0.268 0.268
In2 In 0.500 0.732 0.000
In3 In 0.500 0.000 0.732
# * VASP energy: -4.61 eV per atom
# * crystal system: orthorhombic